# 1
This record from the Alexandria database describes an optimized crystal structure of La2Pm9Tm. The functional is PBE.

Results
**ΔE to the lowest computed polymorph**: 0.00 kcal/mol of atoms
**Symmetry**: P4/mmm
**ΔH_f (0 K)**: 20 meV per atom

a = 5.165 Å, b = 5.165 Å, c = 15.512 Å
α = 90.00°, β = 90.00°, γ = 90.00°
Sites, in units of the cell vectors:
La 0.000 0.000 0.168
La 0.000 0.000 0.832
Pm 0.000 0.500 0.000
Pm 0.000 0.500 0.337
Pm 0.000 0.500 0.663
Pm 0.500 0.000 0.000
Pm 0.500 0.000 0.337
Pm 0.500 0.000 0.663
Pm 0.500 0.500 0.169
Pm 0.500 0.500 0.500
Pm 0.500 0.500 0.831
Tm 0.000 0.000 0.500


# 2
This record from the Alexandria database describes an optimized crystal structure of YTaCu2Hg. The functional is PBE.

Results
**Symmetry**: P4/mmm
**ΔH_f (0 K)**: 739 meV per atom

a = 4.749 Å, b = 4.749 Å, c = 5.277 Å
α = 90.00°, β = 90.00°, γ = 90.00°
Sites, in units of the cell vectors:
Y 0.000 0.000 0.000
Ta 0.500 0.500 0.500
Cu 0.000 0.500 0.500
Cu 0.500 0.000 0.500
Hg 0.500 0.500 0.000


# 3
This record from the Alexandria database describes an optimized crystal structure of Mg2TeMoPt. The functional is PBE.

Results
**Symmetry**: P4/mmm

a = 5.105 Å, b = 5.105 Å, c = 4.979 Å
α = 90.00°, β = 90.00°, γ = 90.00°
Sites, in units of the cell vectors:
Mg 0.000 0.500 0.000
Mg 0.500 0.000 0.000
Te 0.000 0.000 0.000
Mo 0.000 0.000 0.500
Pt 0.500 0.500 0.500


# 4
This record from the Alexandria database describes an optimized crystal structure of Rb2SrAlTe. The functional is PBE.

Results
**Symmetry**: P4/mmm

a = 6.876 Å, b = 6.876 Å, c = 6.285 Å
α = 90.00°, β = 90.00°, γ = 90.00°
Sites, in units of the cell vectors:
Rb 0.000 0.500 0.000
Rb 0.500 0.000 0.000
Sr 0.000 0.000 0.500
Al 0.500 0.500 0.500
Te 0.000 0.000 0.000


# 5
This record from the Alexandria database describes an optimized crystal structure of Dy12Tm6Mg. The functional is PBE.

Results
**ΔE to the lowest computed polymorph**: 0.13 kcal/mol of atoms
**Symmetry**: R-3m
**ΔH_f (0 K)**: 145 meV per atom

a = 8.526 Å, b = 8.526 Å, c = 8.526 Å
α = 97.38°, β = 97.38°, γ = 97.38°
Sites, in units of the cell vectors:
Dy 0.000 0.262 0.738
Dy 0.000 0.738 0.262
Dy 0.167 0.586 0.586
Dy 0.262 0.000 0.738
Dy 0.262 0.738 0.000
Dy 0.414 0.414 0.833
Dy 0.414 0.833 0.414
Dy 0.586 0.167 0.586
Dy 0.586 0.586 0.167
Dy 0.738 0.000 0.262
Dy 0.738 0.262 0.000
Dy 0.833 0.414 0.414
Tm 0.137 0.137 0.408
Tm 0.137 0.408 0.137
Tm 0.408 0.137 0.137
Tm 0.592 0.863 0.863
Tm 0.863 0.592 0.863
Tm 0.863 0.863 0.592
Mg 0.000 0.000 0.000


# 6
This record from the Alexandria database describes an optimized crystal structure of NpGaBr. The functional is PBE.

Results
**Symmetry**: C2/m

a = 4.181 Å, b = 4.181 Å, c = 11.889 Å
α = 95.14°, β = 95.14°, γ = 119.00°
Sites, in units of the cell vectors:
Np 0.086 0.086 0.174
Np 0.914 0.914 0.826
Ga 0.332 0.668 0.000
Ga 0.668 0.332 0.000
Br 0.331 0.331 0.657
Br 0.669 0.669 0.343


# 7
This record from the Alexandria database describes an optimized crystal structure of Y2TlCdC. The functional is PBE.

Results
**Symmetry**: P4/mmm
**ΔH_f (0 K)**: -173 meV per atom

a = 4.940 Å, b = 4.940 Å, c = 4.594 Å
α = 90.00°, β = 90.00°, γ = 90.00°
Sites, in units of the cell vectors:
Y 0.000 0.500 0.000
Y 0.500 0.000 0.000
Tl 0.000 0.000 0.500
Cd 0.500 0.500 0.500
C 0.500 0.500 0.000


# 8
This record from the Alexandria database describes an optimized crystal structure of PrNdTl. The functional is PBE.

Results
**ΔE to the lowest computed polymorph**: 0.00 kcal/mol of atoms
**Symmetry**: P6_3/mmc
**ΔH_f (0 K)**: -267 meV per atom

a = 5.605 Å, b = 5.605 Å, c = 6.954 Å
α = 90.00°, β = 90.00°, γ = 120.00°
Sites, in units of the cell vectors:
Pr 0.000 0.000 0.000
Pr 0.000 0.000 0.500
Nd 0.333 0.667 0.250
Nd 0.667 0.333 0.750
Tl 0.333 0.667 0.750
Tl 0.667 0.333 0.250


# 9
This record from the Alexandria database describes an optimized crystal structure of MgNbReIr. The functional is PBE.

Results
**Symmetry**: F-43m
**ΔH_f (0 K)**: -147 meV per atom

a = 4.483 Å, b = 4.483 Å, c = 4.483 Å
α = 60.00°, β = 60.00°, γ = 60.00°
Sites, in units of the cell vectors:
Mg 0.000 0.000 0.000
Nb 0.500 0.500 0.500
Re 0.250 0.250 0.250
Ir 0.750 0.750 0.750


# 10
This record from the Alexandria database describes an optimized crystal structure of LiMgCo2. The functional is PBE.

Results
**Symmetry**: P4mm
**ΔH_f (0 K)**: 102 meV per atom

a = 2.895 Å, b = 2.895 Å, c = 6.800 Å
α = 90.00°, β = 90.00°, γ = 90.00°
Sites, in units of the cell vectors:
Li 0.000 0.000 0.000
Mg 0.500 0.500 0.325
Co 0.000 0.000 0.589
Co 0.500 0.500 0.760


# 11
This record from the Alexandria database describes an optimized crystal structure of HoHf3Zr2N6. The functional is PBE.

Results
**Symmetry**: C2/m

a = 7.302 Å, b = 7.302 Å, c = 6.573 Å
α = 103.42°, β = 103.42°, γ = 25.68°
Sites, in units of the cell vectors:
Ho 0.000 0.000 0.000
Hf 0.000 0.000 0.500
Hf 0.332 0.332 0.168
Hf 0.668 0.668 0.832
Zr 0.330 0.330 0.661
Zr 0.670 0.670 0.339
N 0.162 0.162 0.592
N 0.171 0.171 0.076
N 0.498 0.498 0.263
N 0.502 0.502 0.737
N 0.829 0.829 0.924
N 0.838 0.838 0.408


# 12
This record from the Alexandria database describes an optimized crystal structure of Li2ZrTa2Se6. The functional is PBE.

Results
**Symmetry**: C2/m

a = 6.347 Å, b = 6.347 Å, c = 6.950 Å
α = 96.98°, β = 96.98°, γ = 120.16°
Sites, in units of the cell vectors:
Li 0.174 0.826 0.000
Li 0.826 0.174 0.000
Zr 0.000 0.000 0.500
Ta 0.369 0.631 0.500
Ta 0.631 0.369 0.500
Se 0.057 0.413 0.726
Se 0.255 0.255 0.229
Se 0.413 0.057 0.726
Se 0.587 0.943 0.274
Se 0.745 0.745 0.771
Se 0.943 0.587 0.274


# 13
This record from the Alexandria database describes an optimized crystal structure of CaAlZnMo2. The functional is PBE.

Results
**Symmetry**: P4/mmm
**ΔH_f (0 K)**: 1285 meV per atom

a = 4.662 Å, b = 4.662 Å, c = 5.261 Å
α = 90.00°, β = 90.00°, γ = 90.00°
Sites, in units of the cell vectors:
Ca 0.000 0.000 0.000
Al 0.000 0.000 0.500
Zn 0.500 0.500 0.000
Mo 0.000 0.500 0.500
Mo 0.500 0.000 0.500


These records have electronic total energy values of -0.3482; -0.3398; -0.2603; -0.1633; -0.3129; -0.4657; -0.3866; -0.3115; -0.6166; -0.3181; -0.7508; -0.4563; -0.3272 Ry per atom, in the order they appear.